1.
A plane-wave DFT calculation with GGA-PBEsol was carried out for a geometry-optimized ScCoSi2 structure.

abc: 3.800 3.800 13.692
angles: 90.00 90.00 120.00
Fractional positions:
Sc 0.000 0.000 0.000
Sc 0.333 0.667 0.667
Sc 0.667 0.333 0.333
Co 0.000 0.000 0.500
Co 0.333 0.667 0.167
Co 0.667 0.333 0.833
Si 0.000 0.000 0.213
Si 0.000 0.000 0.787
Si 0.333 0.667 0.453
Si 0.333 0.667 0.880
Si 0.667 0.333 0.120
Si 0.667 0.333 0.547

The value obtained for the spin magnetization is 0.0 μB per formula unit. Its space group is No. 166. Its calculated density is 4.7 g/cm³. Its formation energy without anion corrections is -18.097 kcal/mol of atoms.



2.
A plane-wave DFT calculation with GGA-PBEsol was carried out for a geometry-optimized BeHg2Sb structure.

abc: 3.270 3.977 12.981
angles: 90.00 90.00 90.00
Fractional positions:
Be 0.000 0.000 0.000
Be 0.500 0.500 0.500
Hg 0.000 0.500 0.313
Hg 0.000 0.500 0.687
Hg 0.500 0.000 0.187
Hg 0.500 0.000 0.813
Sb 0.000 0.000 0.500
Sb 0.500 0.500 0.000

For the distance to the lowest polymorph of the same formula, the calculation gives 0.0000 eV/atom. The value obtained for the spin magnetization is 0.0 μB per formula unit. Its space group is No. 71. Its calculated density is 10.5 g/cm³. Its formation energy without anion corrections is 7.160 kcal/mol of atoms.



3.
A plane-wave DFT calculation with GGA-PBEsol was carried out for a geometry-optimized K2NaYBr6 structure.

abc: 7.856 7.856 7.856
angles: 60.00 60.00 60.00
Fractional positions:
K 0.250 0.250 0.250
K 0.750 0.750 0.750
Na 0.000 0.000 0.000
Y 0.500 0.500 0.500
Br 0.253 0.253 0.747
Br 0.253 0.747 0.253
Br 0.253 0.747 0.747
Br 0.747 0.253 0.253
Br 0.747 0.253 0.747
Br 0.747 0.747 0.253

The value obtained for the spin magnetization is 0.0 μB per formula unit. Its space group is No. 225. Its calculated density is 3.2 g/cm³. Its formation energy without anion corrections is -39.807 kcal/mol of atoms.



4.
A plane-wave DFT calculation with GGA-PBEsol was carried out for a geometry-optimized SrIr3O structure.

abc: 4.275 4.275 4.275
angles: 90.00 90.00 90.00
Fractional positions:
Sr 0.000 0.000 0.000
Ir 0.000 0.500 0.500
Ir 0.500 0.000 0.500
Ir 0.500 0.500 0.000
O 0.500 0.500 0.500

The value obtained for the spin magnetization is 0.0 μB per formula unit. Its space group is No. 221. Its calculated density is 14.5 g/cm³. Its formation energy without anion corrections is 13.835 kcal/mol of atoms.



- The lowest calculated density belongs to which entry?
  K2NaYBr6